1.
Density functional theory data (PBE) for an optimized crystal structure of Tl4Sb4Pb3.

space group = P-1
density of states at the Fermi level = 5.2 states/eV/cell
ΔE_f (raw) = 0.0596 eV per atom

a = 4.5863 Å, b = 5.6065 Å, c = 14.6948 Å
α = 96.61°, β = 95.57°, γ = 91.92°
Last column: nearest neighbours and their distance in Å.
Fractional coordinates of all 11 atoms:
Tl (0.0954, 0.1785, 0.1804)  3 Sb 3.12-3.17, 2 Pb 3.38-3.47
Tl (0.2690, 0.7245, 0.5527)  3 Sb 3.19-3.23, 1 Pb 3.50
Tl (0.7310, 0.2755, 0.4473)  3 Sb 3.19-3.23, 1 Pb 3.50
Tl (0.9046, 0.8215, 0.8196)  3 Sb 3.12-3.17, 2 Pb 3.38-3.47
Sb (0.1920, 0.9206, 0.3571)  2 Pb 3.06-3.07, 4 Tl 3.12-3.23
Sb (0.4510, 0.1406, 0.9195)  1 Sb 3.00, 3 Pb 3.14-3.21, 2 Tl 3.15-3.17
Sb (0.5490, 0.8594, 0.0805)  1 Sb 3.00, 3 Pb 3.14-3.21, 2 Tl 3.15-3.17
Sb (0.8080, 0.0794, 0.6429)  2 Pb 3.06-3.07, 4 Tl 3.12-3.23
Pb (0.0000, 0.5000, 0.0000)  4 Sb 3.15-3.21, 2 Tl 3.38
Pb (0.3511, 0.3778, 0.7362)  3 Sb 3.06-3.14
Pb (0.6489, 0.6222, 0.2638)  3 Sb 3.06-3.14

2.
Density functional theory data (PBE) for an optimized crystal structure of Tm3ScPt2.

space group = Ibam
relative energy among the computed polymorphs = 79 meV per atom
density of states at the Fermi level = 16.7 states/eV/cell
energy of formation from the pure elements = -897 meV per atom

a = 8.3484 Å, b = 8.3484 Å, c = 8.3484 Å
α = 133.79°, β = 66.59°, γ = 134.85°
Last column: nearest neighbours and their distance in Å.
Fractional coordinates of all 12 atoms:
Tm (0.1897, 0.6872, 0.8769)  2 Pt 2.78-2.91
Tm (0.2500, 0.2500, 0.0000)  4 Pt 2.88, 2 Tm 3.20
Tm (0.3103, 0.1872, 0.4975)  2 Pt 2.78-2.91
Tm (0.6897, 0.8128, 0.5025)  2 Pt 2.78-2.91
Tm (0.7500, 0.7500, 0.0000)  4 Pt 2.88, 2 Tm 3.20
Tm (0.8103, 0.3128, 0.1231)  2 Pt 2.78-2.91
Sc (0.2500, 0.7500, 0.5000)  4 Pt 2.72
Sc (0.7500, 0.2500, 0.5000)  4 Pt 2.72
Pt (0.1151, 0.2719, 0.3869)  2 Sc 2.72, 4 Tm 2.78-2.91
Pt (0.3849, 0.7719, 0.1568)  2 Sc 2.72, 4 Tm 2.78-2.91
Pt (0.6151, 0.2281, 0.8432)  2 Sc 2.72, 4 Tm 2.78-2.91
Pt (0.8849, 0.7281, 0.6131)  2 Sc 2.72, 4 Tm 2.78-2.91

3.
Density functional theory data (PBE) for an optimized crystal structure of Cs2RbPb2.

space group = C2/c
relative energy among the computed polymorphs = 0 meV per atom
density of states at the Fermi level = 6.9 states/eV/cell
energy of formation from the pure elements = -104 meV per atom

a = 7.8500 Å, b = 7.8500 Å, c = 11.8754 Å
α = 104.64°, β = 104.64°, γ = 51.79°
Last column: nearest neighbours and their distance in Å.
Fractional coordinates of all 10 atoms:
Cs (0.0937, 0.5978, 0.8647)  4 Pb 3.96-4.05
Cs (0.4022, 0.9063, 0.6353)  4 Pb 3.96-4.05
Cs (0.5978, 0.0937, 0.3647)  4 Pb 3.96-4.05
Cs (0.9063, 0.4022, 0.1353)  4 Pb 3.96-4.05
Rb (0.2537, 0.7463, 0.2500)  6 Pb 4.39-4.45, 8 Cs 4.47-4.69
Rb (0.7463, 0.2537, 0.7500)  6 Pb 4.39-4.45, 8 Cs 4.47-4.69
Pb (0.1078, 0.6036, 0.5349)  1 Pb 2.87
Pb (0.3964, 0.8922, 0.9651)  1 Pb 2.87
Pb (0.6036, 0.1078, 0.0349)  1 Pb 2.87
Pb (0.8922, 0.3964, 0.4651)  1 Pb 2.87

Mass density list, top to bottom, in g cm⁻³: 8.6 10.7 4.6